A geometry-optimized RbZnGa2Pd structure, computed with GGA-PBE.

abc: 4.9567 4.9567 5.0817
angles: 90.00 90.00 90.00
Sites, in units of the cell vectors:
Ga (0.5000, 0.0000, 0.0000)
Ga (0.0000, 0.5000, 0.0000)
Rb (0.5000, 0.5000, 0.5000)
Pd (0.0000, 0.0000, 0.0000)
Zn (0.0000, 0.0000, 0.5000)

Summary:
energy = -14.21 eV per formula unit
total moment = 0.0 μB per cell
calculated formation energy = -0.14 eV per atom

A geometry-optimized La2UGaRu4 structure, computed with GGA-PBE.

abc: 6.0183 6.8359 9.6985
angles: 82.15 71.92 63.88
Sites, in units of the cell vectors:
Ru (0.2109, 0.2262, 0.3688)
Ru (0.5629, 0.2262, 0.6312)
Ru (0.8059, 0.7738, 0.6312)
Ru (0.1871, 0.2738, 0.8688)
Ru (0.5391, 0.2738, 0.1312)
Ru (0.3297, 0.7262, 0.1312)
Ru (0.4203, 0.7738, 0.3688)
Ru (0.9441, 0.7262, 0.8688)
La (0.5744, 0.5000, 0.8512)
La (0.9256, 0.5000, 0.1488)
La (0.1756, 0.0000, 0.6488)
La (0.8244, 0.0000, 0.3512)
U (0.2500, 0.5000, 0.5000)
U (0.5000, 0.0000, 0.0000)
Ga (0.7500, 0.5000, 0.5000)
Ga (0.0000, 0.0000, 0.0000)

Summary:
energy = -63.19 eV per formula unit
total moment = 0.0 μB per cell
calculated formation energy = -0.24 eV per atom

A geometry-optimized AlOs2W structure, computed with GGA-PBE.

abc: 2.9874 4.6452 4.2751
angles: 90.00 90.00 90.00
Sites, in units of the cell vectors:
Os (0.5000, 0.5000, 0.0000)
Os (0.0000, 0.0000, 0.0000)
Al (0.0000, 0.5000, 0.5000)
W (0.5000, 0.0000, 0.5000)

Summary:
energy = -38.56 eV per formula unit
total moment = 0.0 μB per cell
calculated formation energy = 0.15 eV per atom

A geometry-optimized La2H2Ir structure, computed with GGA-PBE.

abc: 5.2506 5.2506 5.0967
angles: 59.00 59.00 90.00
Sites, in units of the cell vectors:
La (0.7500, 0.2500, 0.5000)
La (0.2500, 0.7500, 0.5000)
H (0.7539, 0.7539, 0.4921)
H (0.2461, 0.2461, 0.5079)
Ir (0.0000, 0.0000, 0.0000)

Summary:
energy = -28.24 eV per formula unit
total moment = 0.0 μB per cell
ΔE to the lowest computed polymorph = 0.055 eV per atom

A geometry-optimized AlSeSBr2 structure, computed with GGA-PBE.

abc: 4.8630 4.8630 5.3028
angles: 90.00 90.00 90.00
Each line ends with the local moment (μB).
Sites, in units of the cell vectors:
Al (0.0000, 0.0000, 0.0000)  0.00
Br (0.5000, 0.0000, 0.0000)  0.05
Br (0.0000, 0.5000, 0.0000)  0.05
Se (0.0000, 0.0000, 0.5000)  0.01
S (0.5000, 0.5000, 0.5000)  0.58

Summary:
energy = -13.74 eV per formula unit
total moment = 1.1 μB per cell
ΔE to the lowest computed polymorph = 0.000 eV per atom
uncorrected formation energy = 0.96 eV/f.u.

A geometry-optimized YMg8Zn4 structure, computed with GGA-PBE.

abc: 5.5950 7.3974 7.3974
angles: 81.78 67.78 67.78
Sites, in units of the cell vectors:
Mg (0.5000, 0.2140, 0.7860)
Mg (0.2860, 0.2140, 0.2140)
Mg (0.7140, 0.7860, 0.7860)
Mg (0.0000, 0.3453, 0.6547)
Mg (0.3453, 0.6547, 0.6547)
Mg (0.5000, 0.7860, 0.2140)
Mg (0.0000, 0.6547, 0.3453)
Mg (0.6547, 0.3453, 0.3453)
Zn (0.0000, 0.5000, 0.0000)
Zn (0.5000, 0.5000, 0.0000)
Zn (0.0000, 0.0000, 0.5000)
Zn (0.5000, 0.0000, 0.5000)
Y (0.0000, 0.0000, 0.0000)

Summary:
energy = -26.00 eV per formula unit
total moment = 0.0 μB per cell
calculated formation energy = -0.13 eV per atom

A geometry-optimized Cs3PtBr structure, computed with GGA-PBE.

abc: 6.5604 6.5604 6.5604
angles: 90.00 90.00 90.00
Sites, in units of the cell vectors:
Pt (0.0000, 0.0000, 0.0000)
Cs (0.0000, 0.5000, 0.0000)
Cs (0.0000, 0.0000, 0.5000)
Cs (0.5000, 0.0000, 0.0000)
Br (0.5000, 0.5000, 0.5000)

Summary:
energy = -13.41 eV per formula unit
total moment = 0.0 μB per cell
ΔE to the lowest computed polymorph = 0.000 eV per atom
uncorrected formation energy = -3.13 eV/f.u.

A geometry-optimized TaPb3 structure, computed with GGA-PBE.

abc: 6.1700 6.1700 6.1700
angles: 143.84 130.73 62.62
Sites, in units of the cell vectors:
Ta (0.2500, 0.7500, 0.5000)
Pb (0.7500, 0.2500, 0.5000)
Pb (0.4777, 0.4777, 0.0000)
Pb (0.0223, 0.0223, 0.0000)

Summary:
energy = -20.41 eV per formula unit
total moment = 0.0 μB per cell
calculated formation energy = 0.64 eV per atom

A geometry-optimized CsYCr2Cl8 structure, computed with GGA-PBE.

abc: 6.5268 6.6183 9.6346
angles: 75.31 70.10 66.37
Each line ends with the local moment (μB).
Sites, in units of the cell vectors:
Y (0.0000, 0.0000, 0.0000)  0.05
Cl (0.3478, 0.3671, 0.4962)  -0.03
Cl (0.3912, 0.0739, 0.8319)  -0.01
Cl (0.2384, 0.6756, 0.1788)  -0.01
Cl (0.7616, 0.3244, 0.8212)  -0.01
Cl (0.6088, 0.9261, 0.1681)  -0.01
Cl (0.6522, 0.6329, 0.5038)  -0.03
Cl (0.8928, 0.3013, 0.1714)  0.02
Cl (0.1072, 0.6987, 0.8286)  0.02
Cr (0.5268, 0.6032, 0.3041)  3.57
Cr (0.4732, 0.3968, 0.6959)  3.57
Cs (0.0000, 0.0000, 0.5000)  0.01

Summary:
energy = -59.66 eV per formula unit
total moment = 8.0 μB per cell
uncorrected formation energy = -18.32 eV/f.u.

A geometry-optimized Ce2Ni3As4Rh structure, computed with GGA-PBE.

abc: 4.2622 4.2622 9.4115
angles: 90.00 90.00 90.00
Each line ends with the local moment (μB).
Sites, in units of the cell vectors:
Ce (0.5000, 0.0000, 0.2487)  0.50
Ce (0.0000, 0.5000, 0.7513)  0.50
As (0.0000, 0.5000, 0.3631)  0.00
As (0.5000, 0.0000, 0.6369)  0.00
As (0.5000, 0.5000, 0.0000)  0.01
As (0.0000, 0.0000, 0.0000)  0.01
Ni (0.0000, 0.0000, 0.5000)  0.03
Ni (0.0000, 0.5000, 0.1140)  0.07
Ni (0.5000, 0.0000, 0.8860)  0.07
Rh (0.5000, 0.5000, 0.5000)  -0.01

Summary:
energy = -63.63 eV per formula unit
total moment = 1.3 μB per cell
calculated formation energy = -0.85 eV per atom

A geometry-optimized Tm2HgPb2 structure, computed with GGA-PBE.

abc: 4.8303 6.5059 9.1463
angles: 87.62 90.00 90.00
Sites, in units of the cell vectors:
Tm (0.2500, 0.5255, 0.7994)
Tm (0.2500, 0.1625, 0.4143)
Tm (0.7500, 0.8375, 0.5857)
Tm (0.7500, 0.4745, 0.2006)
Pb (0.2500, 0.6526, 0.4033)
Pb (0.7500, 0.9703, 0.2177)
Pb (0.7500, 0.3474, 0.5967)
Pb (0.2500, 0.0297, 0.7823)
Hg (0.2500, 0.2480, 0.0754)
Hg (0.7500, 0.7520, 0.9246)

Summary:
energy = -18.16 eV per formula unit
total moment = 0.0 μB per cell
calculated formation energy = -0.30 eV per atom
ΔE to the lowest computed polymorph = 0.000 eV per atom

A geometry-optimized Ca2Ac3Ag2 structure, computed with GGA-PBE.

abc: 4.1177 7.2483 9.8583
angles: 66.19 90.02 73.47
Sites, in units of the cell vectors:
Ca (0.1605, 0.6788, 0.8177)
Ca (0.8395, 0.3212, 0.1823)
Ag (0.1775, 0.6460, 0.2202)
Ag (0.8225, 0.3540, 0.7798)
Ac (0.5000, 0.0000, 0.0000)
Ac (0.6186, 0.7646, 0.4441)
Ac (0.3814, 0.2354, 0.5559)

Summary:
energy = -22.92 eV per formula unit
total moment = 0.0 μB per cell
calculated formation energy = -0.13 eV per atom

- Which of these has the highest energy?
  Cs3PtBr

What did the fourth record say?
A geometry-optimized La2H2Ir structure, computed with GGA-PBE.

abc: 5.2506 5.2506 5.0967
angles: 59.00 59.00 90.00
Sites, in units of the cell vectors:
La (0.7500, 0.2500, 0.5000)
La (0.2500, 0.7500, 0.5000)
H (0.7539, 0.7539, 0.4921)
H (0.2461, 0.2461, 0.5079)
Ir (0.0000, 0.0000, 0.0000)

Summary:
energy = -28.24 eV per formula unit
total moment = 0.0 μB per cell
ΔE to the lowest computed polymorph = 0.055 eV per atom